(1)
Density functional theory data (PBE) for a relaxed structure of Tb2CuPd9.

D(E_F)	1.06	states/eV/atom
calculated volume	16.8	A^3/atom
ΔE_f	-0.571	eV per atom
uncorrected energy	-5.5786	eV per atom

a b c (Å): 4.0910 4.0910 12.0137
angles (deg): 90.00 90.00 90.00
Sites, in units of the cell vectors:
Tb: 0.0000 0.0000 0.3247
Tb: 0.0000 0.0000 0.6753
Cu: 0.0000 0.0000 0.0000
Pd: 0.5000 0.5000 0.0000
Pd: 0.5000 0.5000 0.3268
Pd: 0.5000 0.5000 0.6732
Pd: 0.5000 0.0000 0.1521
Pd: 0.5000 0.0000 0.5000
Pd: 0.5000 0.0000 0.8479
Pd: 0.0000 0.5000 0.1521
Pd: 0.0000 0.5000 0.5000
Pd: 0.0000 0.5000 0.8479

(2)
Density functional theory data (PBE) for a relaxed structure of TbCu2Pd3.

D(E_F)	0.27	states/eV/atom
calculated volume	16.2	A^3/atom
ΔE_f	-0.468	eV per atom
uncorrected energy	-5.2017	eV per atom

a b c (Å): 5.6885 5.6885 7.6844
angles (deg): 68.28 68.28 60.00
Sites, in units of the cell vectors:
Tb: 0.7859 0.7859 0.6423
Tb: 0.2141 0.2141 0.3577
Cu: 0.0000 0.0000 0.0000
Cu: 0.0000 0.5000 0.0000
Cu: 0.5000 0.5000 0.0000
Cu: 0.5000 0.0000 0.0000
Pd: 0.2380 0.7279 0.3061
Pd: 0.7279 0.2380 0.3061
Pd: 0.7279 0.7279 0.3061
Pd: 0.2721 0.7620 0.6939
Pd: 0.7620 0.2721 0.6939
Pd: 0.2721 0.2721 0.6939

(3)
Density functional theory data (PBE) for a relaxed structure of TbThCuPd.

E above lowest polymorph	0	meV per atom
D(E_F)	0.90	states/eV/atom
calculated volume	23.2	A^3/atom
ΔE_f	-0.498	eV per atom
uncorrected energy	-5.8324	eV per atom

a b c (Å): 3.7638 4.5944 5.6941
angles (deg): 90.00 109.30 90.00
Sites, in units of the cell vectors:
Tb: 0.1410 0.0000 0.2819
Th: 0.8605 0.5000 0.7211
Cu: 0.4208 0.0000 0.8416
Pd: 0.5777 0.5000 0.1554

(4)
Density functional theory data (PBE) for a relaxed structure of TbThCuPd.

E above lowest polymorph	69	meV per atom
D(E_F)	1.03	states/eV/atom
calculated volume	22.7	A^3/atom
ΔE_f	-0.429	eV per atom
uncorrected energy	-5.7638	eV per atom

a b c (Å): 5.0451 5.0451 5.0451
angles (deg): 60.00 60.00 60.00
Sites, in units of the cell vectors:
Cu: 0.2500 0.2500 0.2500
Tb: 0.0000 0.0000 0.0000
Pd: 0.7500 0.7500 0.7500
Th: 0.5000 0.5000 0.5000